Pa3Co2Ir: relaxed, PBE.

a b c (Å): 7.1477 7.1477 7.1477
angles (deg): 58.01 58.01 58.01
Fractional coordinates of all 12 atoms:
Pa (0.4475, 0.0525, 0.7500)
Pa (0.0525, 0.7500, 0.4475)
Pa (0.7500, 0.4475, 0.0525)
Pa (0.5525, 0.9475, 0.2500)
Pa (0.9475, 0.2500, 0.5525)
Pa (0.2500, 0.5525, 0.9475)
Co (0.3464, 0.3464, 0.3464)
Co (0.1536, 0.1536, 0.1536)
Co (0.8464, 0.8464, 0.8464)
Co (0.6536, 0.6536, 0.6536)
Ir (0.5000, 0.5000, 0.5000)
Ir (0.0000, 0.0000, 0.0000)

Energy of formation (eV/atom): -0.4417
DOS(E_F) (states/eV per atom): 1.186
Distance to the lowest polymorph of the same formula (meV per atom): 24.2
VASP energy (eV/atom): -9.035